# 1
VASP calculation (PBE) on an optimized crystal structure of ZrRe2Pb.

DOS at the Fermi energy   2.69 states/eV per cell
Crystal system   trigonal
Volume   76.7 Å³/f.u.
Energy   -35.32 eV per cell
E_form   0.458 eV per atom

Lattice parameters (Å, degrees): 10.1031 10.1031 10.1031 16.98 16.98 16.98
Sites, in units of the cell vectors:
Re 0.9916 0.9916 0.9916
Re 0.2579 0.2579 0.2579
Zr 0.5067 0.5067 0.5067
Pb 0.7438 0.7438 0.7438

***

# 2
VASP calculation (PBE) on an optimized crystal structure of Zr2RePb.

DOS at the Fermi energy   2.58 states/eV per cell
Crystal system   orthorhombic
Volume   85.8 Å³/f.u.
Energy   -33.36 eV per cell
E_form   -0.027 eV per atom

Lattice parameters (Å, degrees): 3.1594 3.1594 9.1489 90.00 90.00 109.94
Sites, in units of the cell vectors:
Re 0.5000 0.5000 0.7500
Zr 0.0000 0.0000 0.9680
Zr 0.0000 0.0000 0.5320
Pb 0.5000 0.5000 0.2500

***

# 3
VASP calculation (PBE) on an optimized crystal structure of ZrRePb2.

DOS at the Fermi energy   5.75 states/eV per cell
Energy above the most stable polymorph in this dataset   391 meV per atom
Crystal system   cubic
Volume   89.3 Å³/f.u.
Energy   -26.04 eV per cell
E_form   0.592 eV per atom

Lattice parameters (Å, degrees): 5.0167 5.0167 5.0167 60.00 60.00 60.00
Sites, in units of the cell vectors:
Pb 0.7500 0.7500 0.7500
Re 0.5000 0.5000 0.5000
Zr 0.2500 0.2500 0.2500
Pb 0.0000 0.0000 0.0000